A plane-wave DFT calculation with GGA+U was carried out for a relaxed structure of CsNiO2F.

Its final energy is -2.601 eV per atom. The value obtained for the density of states at the Fermi level is 3.90 states/eV/f.u.

The structure belongs to space group P4/mmm (No. 123); the cell edges are 4.297, 4.297 and 5.408 Å and the angles 90.00°, 90.00° and 90.00°. Symmetry generates all atoms from Cs at (0.000, 0.000, 0.000), Ni at (0.500, 0.500, 0.500), O at (0.000, 0.500, 0.000) and F at (0.000, 0.000, 0.500).